No. 1
Entry from Alexandria: a relaxed structure of YMg2Re (PBE).

## Properties
- E above lowest polymorph: 96 meV/atom
- SG: Cm
- Calculated formation energy: 132 kJ/mol of formula units

Unit cell a=5.456 b=5.456 c=5.293 alpha=108.57 beta=108.57 gamma=34.62
Element x y z (fractional)
Y 0.000 0.000 0.000
Mg 0.210 0.210 0.639
Mg 0.445 0.445 0.455
Re 0.739 0.739 0.136

---

No. 2
Entry from Alexandria: a relaxed structure of YMg2Re (PBE).

## Properties
- E above lowest polymorph: 96 meV/atom
- SG: I-4m2
- Calculated formation energy: 132 kJ/mol of formula units

Unit cell a=5.096 b=5.096 c=5.096 alpha=126.91 beta=126.91 gamma=78.39
Element x y z (fractional)
Y 0.000 0.000 0.000
Mg 0.500 0.500 0.000
Mg 0.750 0.250 0.500
Re 0.250 0.750 0.500

---

No. 3
Entry from Alexandria: a relaxed structure of Y2MgRe (PBE).

## Properties
- SG: Pm
- Calculated formation energy: 98 kJ/mol of formula units

Unit cell a=3.806 b=4.615 c=5.822 alpha=90.00 beta=108.93 gamma=90.00
Element x y z (fractional)
Y 0.000 0.000 0.000
Y 0.292 0.500 0.586
Mg 0.582 0.500 0.163
Re 0.715 0.000 0.432

---

No. 4
Entry from Alexandria: a relaxed structure of YMgRe (PBE).

## Properties
- E above lowest polymorph: 0 meV/atom
- SG: P3m1
- Calculated formation energy: 101 kJ/mol of formula units

Unit cell a=4.912 b=4.912 c=2.898 alpha=90.00 beta=90.00 gamma=120.00
Element x y z (fractional)
Y 0.000 0.000 0.000
Mg 0.667 0.333 0.435
Re 0.333 0.667 0.558

---

No. 5
Entry from Alexandria: a relaxed structure of YMg2Re (PBE).

## Properties
- E above lowest polymorph: 95 meV/atom
- SG: Pmmm
- Calculated formation energy: 132 kJ/mol of formula units

Unit cell a=4.201 b=4.285 c=4.600 alpha=90.00 beta=90.00 gamma=90.00
Element x y z (fractional)
Y 0.000 0.000 0.000
Mg 0.000 0.500 0.500
Mg 0.500 0.000 0.500
Re 0.500 0.500 0.000

---

No. 6
Entry from Alexandria: a relaxed structure of YMgRe (PBE).

## Properties
- E above lowest polymorph: 74 meV/atom
- SG: Fmm2
- Calculated formation energy: 123 kJ/mol of formula units

Unit cell a=7.630 b=7.463 c=2.990 alpha=81.73 beta=75.45 gamma=22.82
Element x y z (fractional)
Y 0.000 0.000 0.000
Mg 0.298 0.298 0.702
Re 0.653 0.653 0.347

---

No. 7
Entry from Alexandria: a relaxed structure of YMg2Re (PBE).

## Properties
- E above lowest polymorph: 67 meV/atom
- SG: Pm
- Calculated formation energy: 121 kJ/mol of formula units

Unit cell a=2.984 b=4.643 c=6.223 alpha=90.00 beta=103.18 gamma=90.00
Element x y z (fractional)
Y 0.000 0.000 0.000
Mg 0.313 0.000 0.536
Mg 0.693 0.500 0.341
Re 0.384 0.500 0.786

---

No. 8
Entry from Alexandria: a relaxed structure of YMgRe (PBE).

## Properties
- E above lowest polymorph: 94 meV/atom
- SG: I4mm
- Calculated formation energy: 128 kJ/mol of formula units

Unit cell a=7.022 b=7.022 c=7.022 alpha=154.46 beta=154.46 gamma=36.44
Element x y z (fractional)
Y 0.000 0.000 0.000
Mg 0.712 0.712 0.000
Re 0.348 0.348 0.000

---

No. 9
Entry from Alexandria: a relaxed structure of YMgRe (PBE).

## Properties
- E above lowest polymorph: 458 meV/atom
- SG: F-43m
- Calculated formation energy: 234 kJ/mol of formula units

Unit cell a=4.698 b=4.698 c=4.698 alpha=60.00 beta=60.00 gamma=60.00
Element x y z (fractional)
Y 0.000 0.000 0.000
Mg 0.500 0.500 0.500
Re 0.250 0.250 0.250

---

No. 10
Entry from Alexandria: a relaxed structure of Y2Mg2Re (PBE).

## Properties
- SG: I4/mmm
- Calculated formation energy: 364 kJ/mol of formula units

Unit cell a=5.550 b=5.550 c=5.550 alpha=118.77 beta=118.77 gamma=92.14
Element x y z (fractional)
Y 0.250 0.750 0.500
Y 0.750 0.250 0.500
Mg 0.160 0.160 0.000
Mg 0.840 0.840 0.000
Re 0.500 0.500 0.000

---

No. 11
Entry from Alexandria: a relaxed structure of YMgRe (PBE).

## Properties
- E above lowest polymorph: 18 meV/atom
- SG: I4mm
- Calculated formation energy: 107 kJ/mol of formula units

Unit cell a=5.492 b=5.492 c=5.492 alpha=142.26 beta=142.26 gamma=54.43
Element x y z (fractional)
Y 0.000 0.000 0.000
Mg 0.702 0.702 0.000
Re 0.331 0.331 0.000

---

No. 12
Entry from Alexandria: a relaxed structure of Y2MgRe (PBE).

## Properties
- SG: P2/m
- Calculated formation energy: 181 kJ/mol of formula units

Unit cell a=5.485 b=3.091 c=6.034 alpha=90.00 beta=116.40 gamma=90.00
Element x y z (fractional)
Y 0.000 0.000 0.000
Y 0.000 0.500 0.500
Mg 0.500 0.000 0.500
Re 0.500 0.500 0.000

---

No. 13
Entry from Alexandria: a relaxed structure of YMg2Re (PBE).

## Properties
- E above lowest polymorph: 159 meV/atom
- SG: Cmmm
- Calculated formation energy: 156 kJ/mol of formula units

Unit cell a=5.441 b=5.441 c=2.990 alpha=90.00 beta=90.00 gamma=114.76
Element x y z (fractional)
Y 0.000 0.000 0.000
Mg 0.000 0.500 0.500
Mg 0.500 0.000 0.500
Re 0.500 0.500 0.000

---

No. 14
Entry from Alexandria: a relaxed structure of YMg2Re (PBE).

## Properties
- E above lowest polymorph: 35 meV/atom
- SG: P2/m
- Calculated formation energy: 109 kJ/mol of formula units

Unit cell a=2.915 b=4.880 c=5.871 alpha=90.00 beta=104.07 gamma=90.00
Element x y z (fractional)
Y 0.000 0.000 0.000
Mg 0.310 0.500 0.718
Mg 0.690 0.500 0.282
Re 0.500 0.000 0.500

---

No. 15
Entry from Alexandria: a relaxed structure of Y2MgRe (PBE).

## Properties
- SG: Imm2
- Calculated formation energy: 90 kJ/mol of formula units

Unit cell a=6.130 b=6.130 c=6.130 alpha=146.38 beta=131.13 gamma=60.62
Element x y z (fractional)
Y 0.000 0.000 0.000
Y 0.703 0.203 0.500
Mg 0.416 0.416 0.000
Re 0.217 0.717 0.500

---

No. 16
Entry from Alexandria: a relaxed structure of YMg2Re (PBE).

## Properties
- E above lowest polymorph: 152 meV/atom
- SG: P4/mmm
- Calculated formation energy: 154 kJ/mol of formula units

Unit cell a=2.906 b=2.906 c=9.740 alpha=90.00 beta=90.00 gamma=90.00
Element x y z (fractional)
Y 0.000 0.000 0.000
Mg 0.500 0.500 0.288
Mg 0.500 0.500 0.712
Re 0.000 0.000 0.500

---

No. 17
Entry from Alexandria: a relaxed structure of YMg2Re (PBE).

## Properties
- E above lowest polymorph: 53 meV/atom
- SG: Pmmm
- Calculated formation energy: 116 kJ/mol of formula units

Unit cell a=2.901 b=4.567 c=6.031 alpha=90.00 beta=90.00 gamma=90.00
Element x y z (fractional)
Y 0.000 0.000 0.000
Mg 0.500 0.500 0.282
Mg 0.500 0.500 0.718
Re 0.000 0.000 0.500

---

No. 18
Entry from Alexandria: a relaxed structure of Y2MgRe (PBE).

## Properties
- SG: F-43m
- Calculated formation energy: 143 kJ/mol of formula units

Unit cell a=4.991 b=4.991 c=4.991 alpha=60.00 beta=60.00 gamma=60.00
Element x y z (fractional)
Y 0.000 0.000 0.000
Y 0.250 0.250 0.250
Mg 0.500 0.500 0.500
Re 0.750 0.750 0.750

---

No. 19
Entry from Alexandria: a relaxed structure of YMgZrRe (PBE).

## Properties
- SG: F-43m
- Calculated formation energy: 10 kJ/mol of formula units

Unit cell a=4.904 b=4.904 c=4.904 alpha=60.00 beta=60.00 gamma=60.00
Element x y z (fractional)
Y 0.000 0.000 0.000
Mg 0.750 0.750 0.750
Zr 0.500 0.500 0.500
Re 0.250 0.250 0.250

---

No. 20
Entry from Alexandria: a relaxed structure of Mg2Zn2Re (PBE).

## Properties
- SG: P4/mbm
- Calculated formation energy: 136 kJ/mol of formula units

Unit cell a=7.350 b=7.350 c=2.927 alpha=90.00 beta=90.00 gamma=90.00
Element x y z (fractional)
Mg 0.177 0.323 0.000
Mg 0.323 0.823 0.000
Mg 0.677 0.177 0.000
Mg 0.823 0.677 0.000
Zn 0.124 0.624 0.500
Zn 0.376 0.124 0.500
Zn 0.624 0.876 0.500
Zn 0.876 0.376 0.500
Re 0.000 0.000 0.500
Re 0.500 0.500 0.500

---

No. 21
Entry from Alexandria: a relaxed structure of MgZn2Re (PBE).

## Properties
- SG: Pm
- Calculated formation energy: 67 kJ/mol of formula units

Unit cell a=2.734 b=4.323 c=5.354 alpha=90.00 beta=104.63 gamma=90.00
Element x y z (fractional)
Mg 0.000 0.000 0.000
Zn 0.244 0.000 0.491
Zn 0.384 0.500 0.768
Re 0.643 0.500 0.286

---

No. 22
Entry from Alexandria: a relaxed structure of MgZnRe (PBE).

## Properties
- E above lowest polymorph: 200 meV/atom
- SG: P3m1
- Calculated formation energy: 74 kJ/mol of formula units

Unit cell a=2.825 b=2.825 c=6.897 alpha=90.00 beta=90.00 gamma=120.00
Element x y z (fractional)
Mg 0.000 0.000 0.000
Zn 0.333 0.667 0.657
Re 0.667 0.333 0.337

---

No. 23
Entry from Alexandria: a relaxed structure of MgZnRe2 (PBE).

## Properties
- E above lowest polymorph: 212 meV/atom
- SG: Cm
- Calculated formation energy: 101 kJ/mol of formula units

Unit cell a=4.680 b=4.680 c=5.026 alpha=96.07 beta=96.07 gamma=34.40
Element x y z (fractional)
Mg 0.000 0.000 0.000
Zn 0.755 0.755 0.215
Re 0.245 0.245 0.699
Re 0.496 0.496 0.504

---

No. 24
Entry from Alexandria: a relaxed structure of Mg2ZnRe (PBE).

## Properties
- SG: I-42d
- Calculated formation energy: 269 kJ/mol of formula units

Unit cell a=5.772 b=5.772 c=5.772 alpha=102.45 beta=102.45 gamma=124.66
Element x y z (fractional)
Mg 0.106 0.625 0.981
Mg 0.375 0.356 0.481
Mg 0.644 0.125 0.019
Mg 0.875 0.894 0.519
Zn 0.000 0.000 0.000
Zn 0.750 0.250 0.500
Re 0.250 0.750 0.500
Re 0.500 0.500 0.000

---

No. 25
Entry from Alexandria: a relaxed structure of MgZnRe (PBE).

## Properties
- E above lowest polymorph: 278 meV/atom
- SG: Imm2
- Calculated formation energy: 97 kJ/mol of formula units

Unit cell a=4.869 b=4.869 c=4.869 alpha=148.36 beta=128.87 gamma=61.38
Element x y z (fractional)
Mg 0.000 0.000 0.000
Zn 0.330 0.330 0.000
Re 0.669 0.669 0.000

---

No. 26
Entry from Alexandria: a relaxed structure of MgZn2Re (PBE).

## Properties
- SG: F-43m
- Calculated formation energy: 178 kJ/mol of formula units

Unit cell a=4.425 b=4.425 c=4.425 alpha=60.00 beta=60.00 gamma=60.00
Element x y z (fractional)
Mg 0.000 0.000 0.000
Zn 0.500 0.500 0.500
Zn 0.750 0.750 0.750
Re 0.250 0.250 0.250

---

No. 27
Entry from Alexandria: a relaxed structure of MgZn2Re (PBE).

## Properties
- SG: P4/mmm
- Calculated formation energy: 94 kJ/mol of formula units

Unit cell a=2.740 b=2.740 c=8.371 alpha=90.00 beta=90.00 gamma=90.00
Element x y z (fractional)
Mg 0.000 0.000 0.000
Zn 0.500 0.500 0.263
Zn 0.500 0.500 0.737
Re 0.000 0.000 0.500

---

No. 28
Entry from Alexandria: a relaxed structure of MgZn2Re (PBE).

## Properties
- SG: P2/m
- Calculated formation energy: 72 kJ/mol of formula units

Unit cell a=2.689 b=4.291 c=5.501 alpha=90.00 beta=103.11 gamma=90.00
Element x y z (fractional)
Mg 0.000 0.000 0.000
Zn 0.487 0.500 0.271
Zn 0.513 0.500 0.729
Re 0.000 0.000 0.500

---

No. 29
Entry from Alexandria: a relaxed structure of MgZnRe2 (PBE).

## Properties
- E above lowest polymorph: 169 meV/atom
- SG: Cmm2
- Calculated formation energy: 85 kJ/mol of formula units

Unit cell a=2.749 b=2.749 c=9.198 alpha=90.00 beta=90.00 gamma=114.58
Element x y z (fractional)
Mg 0.000 0.000 0.000
Zn 0.500 0.500 0.260
Re 0.000 0.000 0.508
Re 0.500 0.500 0.741

---

No. 30
Entry from Alexandria: a relaxed structure of Mg2ZnRe (PBE).

## Properties
- SG: Pm
- Calculated formation energy: 81 kJ/mol of formula units

Unit cell a=2.755 b=4.681 c=5.167 alpha=90.00 beta=90.27 gamma=90.00
Element x y z (fractional)
Mg 0.000 0.000 0.000
Mg 0.008 0.500 0.671
Zn 0.503 0.000 0.461
Re 0.504 0.500 0.182

---

No. 31
Entry from Alexandria: a relaxed structure of MgZn2Re (PBE).

## Properties
- SG: R-3m
- Calculated formation energy: 76 kJ/mol of formula units

Unit cell a=9.197 b=9.197 c=9.197 alpha=17.74 beta=17.74 gamma=17.74
Element x y z (fractional)
Mg 0.000 0.000 0.000
Zn 0.247 0.247 0.247
Zn 0.753 0.753 0.753
Re 0.500 0.500 0.500